[1]
Here is a geometry-optimized Ca4TlZn3 structure from the Alexandria database. Energies are from PBE.

a b c (Å): 8.3047 8.3047 5.3060
angles (deg): 108.52 108.52 37.26
Closest atoms and distances in Å follow each position.
Sites, in units of the cell vectors:
Ca 0.1283 0.1283 0.1280  6 Zn 3.20-3.26, 2 Tl 3.26-3.27
Ca 0.3717 0.3717 0.3718  6 Zn 3.20-3.27, 2 Tl 3.26
Ca 0.6283 0.6283 0.6282  6 Zn 3.20-3.27, 2 Tl 3.26
Ca 0.8717 0.8717 0.8720  6 Zn 3.20-3.26, 2 Tl 3.26-3.27
Tl 0.0000 0.0000 0.5000  8 Ca 3.26-3.27
Zn 0.2509 0.2509 0.7505  8 Ca 3.20-3.22
Zn 0.5000 0.5000 0.0000  8 Ca 3.26-3.27
Zn 0.7491 0.7491 0.2495  8 Ca 3.20-3.22

Size of the total moment = 0.000 μB/atom
D(E_F) = 5.1 states/eV/f.u.
ΔE_f = -286 meV per atom


[2]
Here is a geometry-optimized TiP2SBr structure from the Alexandria database. Energies are from PBE.

a b c (Å): 4.7620 4.7620 4.6521
angles (deg): 90.00 90.00 90.00
Closest atoms and distances in Å follow each position.
Sites, in units of the cell vectors:
Ti 0.0000 0.0000 0.0000  8 P 3.33, 4 S 3.37
P 0.0000 0.5000 0.5000  2 Br 2.38
P 0.5000 0.0000 0.5000  2 Br 2.38
S 0.5000 0.5000 0.0000  2 Br 2.33
Br 0.5000 0.5000 0.5000  2 S 2.33, 4 P 2.38

Size of the total moment = 0.000 μB/atom
D(E_F) = 5.1 states/eV/f.u.
Excess energy over the best structure of this formula in the dataset = 1085 meV per atom
Formation energy (no corrections) = 119.4 kJ/mol of atoms


[3]
Here is a geometry-optimized CaCd2Re structure from the Alexandria database. Energies are from PBE.

a b c (Å): 4.9092 4.9092 4.9092
angles (deg): 60.00 60.00 60.00
Closest atoms and distances in Å follow each position.
Sites, in units of the cell vectors:
Ca 0.0000 0.0000 0.0000  8 Cd 3.01
Cd 0.2500 0.2500 0.2500  4 Re 3.01, 4 Ca 3.01
Cd 0.7500 0.7500 0.7500  4 Re 3.01, 4 Ca 3.01
Re 0.5000 0.5000 0.5000  8 Cd 3.01

Size of the total moment = 0.221 μB/atom
D(E_F) = 3.7 states/eV/f.u.
ΔE_f = 525 meV per atom
Excess energy over the best structure of this formula in the dataset = 115 meV per atom


[4]
Here is a geometry-optimized LiErThTl structure from the Alexandria database. Energies are from PBE.

a b c (Å): 5.3374 5.3374 5.3374
angles (deg): 60.00 60.00 60.00
Closest atoms and distances in Å follow each position.
Sites, in units of the cell vectors:
Li 0.0000 0.0000 0.0000  4 Th 3.27, 4 Er 3.27
Er 0.2500 0.2500 0.2500  4 Tl 3.27, 4 Li 3.27
Th 0.7500 0.7500 0.7500  4 Tl 3.27, 4 Li 3.27
Tl 0.5000 0.5000 0.5000  4 Th 3.27, 4 Er 3.27

Size of the total moment = 0.000 μB/atom
D(E_F) = 3.4 states/eV/f.u.
ΔE_f = -25 meV per atom


[5]
Here is a geometry-optimized Rb2VInGa structure from the Alexandria database. Energies are from PBE.

a b c (Å): 7.0954 7.0954 5.1108
angles (deg): 90.00 90.00 90.00
Closest atoms and distances in Å follow each position.
Sites, in units of the cell vectors:
Rb 0.0000 0.5000 0.0000  2 In 3.55
Rb 0.5000 0.0000 0.0000  2 In 3.55
V 0.0000 0.0000 0.5000  8 Rb 4.37
In 0.5000 0.5000 0.0000  2 Ga 2.56
Ga 0.5000 0.5000 0.5000  2 In 2.56

Size of the total moment = 0.869 μB/atom
D(E_F) = 11.0 states/eV/f.u.
ΔE_f = 966 meV per atom


[6]
Here is a geometry-optimized TlZnTc2As structure from the Alexandria database. Energies are from PBE.

a b c (Å): 4.8122 4.8122 4.8652
angles (deg): 90.00 90.00 90.00
Closest atoms and distances in Å follow each position.
Sites, in units of the cell vectors:
Tl 0.0000 0.0000 0.0000  2 Zn 2.43
Zn 0.0000 0.0000 0.5000  4 Tc 2.41, 2 Tl 2.43
Tc 0.0000 0.5000 0.5000  2 Zn 2.41
Tc 0.5000 0.0000 0.5000  2 Zn 2.41
As 0.5000 0.5000 0.0000  4 Tl 3.40, 8 Tc 3.42

Size of the total moment = 1.163 μB/atom
D(E_F) = 6.3 states/eV/f.u.
ΔE_f = 1529 meV per atom


[7]
Here is a geometry-optimized CrCo2Ni6 structure from the Alexandria database. Energies are from PBE.

a b c (Å): 7.3355 6.5764 4.3782
angles (deg): 81.40 62.43 36.17
Closest atoms and distances in Å follow each position.
Sites, in units of the cell vectors:
Cr 0.0000 0.0000 0.0000  10 Ni 2.42-2.60
Co 0.3299 0.3299 0.6701  10 Ni 2.43-2.58
Co 0.6701 0.6701 0.3299  10 Ni 2.43-2.58
Ni 0.0014 0.6691 0.3309  1 Cr 2.42, 4 Co 2.43-2.58, 5 Ni 2.44-2.56
Ni 0.3309 0.9986 0.0014  1 Cr 2.42, 4 Co 2.43-2.58, 5 Ni 2.44-2.56
Ni 0.3372 0.6628 0.3372  3 Cr 2.43-2.60, 5 Ni 2.44-2.51, 2 Co 2.47
Ni 0.6628 0.3372 0.6628  3 Cr 2.43-2.60, 5 Ni 2.44-2.51, 2 Co 2.47
Ni 0.6691 0.0014 0.9986  1 Cr 2.42, 4 Co 2.43-2.58, 5 Ni 2.44-2.56
Ni 0.9986 0.3309 0.6691  1 Cr 2.42, 4 Co 2.43-2.58, 5 Ni 2.44-2.56

Size of the total moment = 0.745 μB/atom
D(E_F) = 14.4 states/eV/f.u.
ΔE_f = 112 meV per atom
Excess energy over the best structure of this formula in the dataset = 108 meV per atom


[8]
Here is a geometry-optimized CsTe2Pb2O6 structure from the Alexandria database. Energies are from PBE.

a b c (Å): 6.3260 7.1393 7.5073
angles (deg): 62.80 66.22 83.04
Closest atoms and distances in Å follow each position.
Sites, in units of the cell vectors:
Cs 0.0000 0.0000 0.0000  4 O 2.99-3.22
Te 0.2555 0.4480 0.0274  3 O 1.86-2.07
Te 0.7445 0.5520 0.9726  3 O 1.86-2.07
Pb 0.2541 0.6655 0.4494  4 O 2.35-2.44
Pb 0.7459 0.3345 0.5506  4 O 2.35-2.44
O 0.1167 0.5318 0.2785  1 Te 2.06
O 0.2073 0.1586 0.2043  1 Te 1.86
O 0.3767 0.4285 0.7363  1 Te 2.07
O 0.6233 0.5715 0.2637  1 Te 2.07
O 0.7927 0.8414 0.7957  1 Te 1.86
O 0.8833 0.4682 0.7215  1 Te 2.06

Size of the total moment = 0.000 μB/atom
D(E_F) = 3.0 states/eV/f.u.
Formation energy (no corrections) = -96.9 kJ/mol of atoms


[9]
Here is a geometry-optimized Ac2La5Dy6 structure from the Alexandria database. Energies are from PBE.

a b c (Å): 12.0494 21.0557 3.6915
angles (deg): 90.00 90.00 90.00
Closest atoms and distances in Å follow each position.
Sites, in units of the cell vectors:
Ac 0.1814 0.2285 0.0000  4 Dy 3.60-3.98, 6 La 3.65-4.00, 2 Ac 3.69
Ac 0.3186 0.7285 0.0000  4 Dy 3.60-3.98, 6 La 3.65-4.00, 2 Ac 3.69
Ac 0.6814 0.2715 0.0000  4 Dy 3.60-3.98, 6 La 3.65-4.00, 2 Ac 3.69
Ac 0.8186 0.7715 0.0000  4 Dy 3.60-3.98, 6 La 3.65-4.00, 2 Ac 3.69
La 0.0000 0.5000 0.5000  6 Dy 3.39-3.60, 2 La 3.69
La 0.0774 0.7907 0.5000  5 Dy 3.39-3.63, 4 Ac 3.65-3.68, 2 La 3.69
La 0.2014 0.0605 0.5000  7 Dy 3.67-3.98, 3 La 3.69-3.82, 2 Ac 4.00
La 0.2986 0.5605 0.5000  7 Dy 3.67-3.98, 3 La 3.69-3.82, 2 Ac 4.00
La 0.4226 0.2907 0.5000  5 Dy 3.39-3.63, 4 Ac 3.65-3.68, 2 La 3.69
La 0.5000 0.0000 0.5000  6 Dy 3.39-3.60, 2 La 3.69
La 0.5774 0.7093 0.5000  5 Dy 3.39-3.63, 4 Ac 3.65-3.68, 2 La 3.69
La 0.7014 0.4395 0.5000  7 Dy 3.67-3.98, 3 La 3.69-3.82, 2 Ac 4.00
La 0.7986 0.9395 0.5000  7 Dy 3.67-3.98, 3 La 3.69-3.82, 2 Ac 4.00
La 0.9226 0.2093 0.5000  5 Dy 3.39-3.63, 4 Ac 3.65-3.68, 2 La 3.69
Dy 0.0604 0.6426 0.0000  4 Dy 3.58-3.69, 6 La 3.60-3.82, 2 Ac 3.60-3.98
Dy 0.0670 0.9310 0.0000  5 Dy 3.32-3.69, 4 La 3.49-3.67
Dy 0.1908 0.3816 0.5000  2 La 3.39, 6 Dy 3.58-3.69, 2 Ac 3.72
Dy 0.3092 0.8816 0.5000  2 La 3.39, 6 Dy 3.58-3.69, 2 Ac 3.72
Dy 0.4330 0.4310 0.0000  5 Dy 3.32-3.69, 4 La 3.49-3.67
Dy 0.4396 0.1426 0.0000  4 Dy 3.58-3.69, 6 La 3.60-3.82, 2 Ac 3.60-3.98
Dy 0.5604 0.8574 0.0000  4 Dy 3.58-3.69, 6 La 3.60-3.82, 2 Ac 3.60-3.98
Dy 0.5670 0.5690 0.0000  5 Dy 3.32-3.69, 4 La 3.49-3.67
Dy 0.6908 0.1184 0.5000  2 La 3.39, 6 Dy 3.58-3.69, 2 Ac 3.72
Dy 0.8092 0.6184 0.5000  2 La 3.39, 6 Dy 3.58-3.69, 2 Ac 3.72
Dy 0.9330 0.0690 0.0000  5 Dy 3.32-3.69, 4 La 3.49-3.67
Dy 0.9396 0.3574 0.0000  4 Dy 3.58-3.69, 6 La 3.60-3.82, 2 Ac 3.60-3.98

Size of the total moment = 0.000 μB/atom
D(E_F) = 19.3 states/eV/f.u.
ΔE_f = 102 meV per atom


[10]
Here is a geometry-optimized ThCrH structure from the Alexandria database. Energies are from PBE.

a b c (Å): 10.4755 3.1640 3.1640
angles (deg): 61.12 90.00 90.00
Closest atoms and distances in Å follow each position.
Sites, in units of the cell vectors:
Th 0.1681 0.0000 0.0000  3 H 2.48-2.58
Th 0.8319 0.0000 0.0000  3 H 2.48-2.58
Cr 0.4052 0.4992 0.4992  1 Cr 1.99, 3 H 2.09
Cr 0.5948 0.4992 0.4992  1 Cr 1.99, 3 H 2.09
H 0.0000 0.6792 0.6792  6 Th 2.48-2.58
H 0.5000 0.8371 0.8371  6 Cr 2.09

Uncorrected energy = -37.84 eV/cell
Size of the total moment = 0.001 μB/atom
D(E_F) = 2.9 states/eV/f.u.


[11]
Here is a geometry-optimized YTlCl2 structure from the Alexandria database. Energies are from PBE.

a b c (Å): 3.7294 3.7294 10.3179
angles (deg): 90.00 90.00 121.93
Closest atoms and distances in Å follow each position.
Sites, in units of the cell vectors:
Y 0.0000 0.0000 0.0000  4 Cl 2.70
Tl 0.0000 0.0000 0.5000  6 Tl 3.62-3.73, 4 Cl 3.63
Cl 0.5000 0.5000 0.1945  2 Y 2.70
Cl 0.5000 0.5000 0.8055  2 Y 2.70

Size of the total moment = 0.000 μB/atom
D(E_F) = 1.4 states/eV/f.u.
Excess energy over the best structure of this formula in the dataset = 114 meV per atom
Formation energy (no corrections) = -118.1 kJ/mol of atoms


[12]
Here is a geometry-optimized Li3YIn4 structure from the Alexandria database. Energies are from PBE.

a b c (Å): 8.8192 8.8192 8.8192
angles (deg): 32.32 32.32 32.32
Closest atoms and distances in Å follow each position.
Sites, in units of the cell vectors:
Li 0.0000 0.0000 0.0000  8 In 2.88-2.99
Li 0.2506 0.2506 0.2506  7 In 2.95-3.05
Li 0.7494 0.7494 0.7494  7 In 2.95-3.05
Y 0.5000 0.5000 0.5000  8 In 3.12-3.22
In 0.1149 0.1149 0.1149  4 Li 2.88-2.95, 3 Y 3.12
In 0.3713 0.3713 0.3713  7 Li 2.99-3.05, 1 Y 3.22
In 0.6287 0.6287 0.6287  7 Li 2.99-3.05, 1 Y 3.22
In 0.8851 0.8851 0.8851  4 Li 2.88-2.95, 3 Y 3.12

Size of the total moment = 0.000 μB/atom
D(E_F) = 2.5 states/eV/f.u.
ΔE_f = -334 meV per atom


Question: What is the size of the total moment in the third record?
Answer: 0.221 μB/atom


Question: Among the records above, which one has the lowest D(E_F)?
Answer: YTlCl2